Record 1
Density functional theory data (PBE) for a relaxed structure of PmGdAgRu.

Calculated values
ΔE_f (eV/atom): -0.259
Density (g cm⁻³): 9.33
Size of the total moment (Bohr magnetons per cell): 7.175
SG: F-43m (216)
DFT total energy (eV per atom): -7.998

a b c (Å): 5.0483 5.0483 5.0483
angles (deg): 60.00 60.00 60.00
Each line ends with the local moment (μB).
Atoms (fractional coordinates):
Gd 0.7500 0.7500 0.7500  -7.06
Pm 0.2500 0.2500 0.2500  -0.05
Ru 0.0000 0.0000 0.0000  0.16
Ag 0.5000 0.5000 0.5000  -0.01

***

Record 2
Density functional theory data (PBE) for a relaxed structure of Ca2Mg3Cu2.

Calculated values
ΔE_f (eV/atom): -0.137
Density (g cm⁻³): 2.89
E above lowest polymorph (kcal/mol of atoms): 0.00
Size of the total moment (Bohr magnetons per cell): 0.000
SG: C2/m (12)
DFT total energy (eV per atom): -2.562

a b c (Å): 4.3873 5.7053 7.6127
angles (deg): 68.30 73.25 67.39
Atoms (fractional coordinates):
Mg 0.3625 0.8365 0.4385
Mg 0.5000 0.0000 0.0000
Mg 0.6375 0.1635 0.5615
Ca 0.8585 0.4974 0.7857
Ca 0.1415 0.5026 0.2143
Cu 0.8595 0.0784 0.2026
Cu 0.1405 0.9216 0.7974

***

Record 3
Density functional theory data (PBE) for a relaxed structure of TlAsSe2.

Calculated values
Density (g cm⁻³): 6.68
Size of the total moment (Bohr magnetons per cell): 0.000
SG: Immm (71)
Formation energy without anion corrections (eV per atom): 0.009
DFT total energy (eV per atom): -3.488

a b c (Å): 6.0331 6.0331 6.0331
angles (deg): 145.35 117.57 73.41
Atoms (fractional coordinates):
Se 0.4381 0.4381 0.0000
Se 0.0619 0.0619 0.0000
As 0.2500 0.7500 0.5000
Tl 0.7500 0.2500 0.5000

***

Record 4
Density functional theory data (PBE) for a relaxed structure of KZn2Ga2.

Calculated values
ΔE_f (eV/atom): -0.031
Density (g cm⁻³): 4.62
E above lowest polymorph (kcal/mol of atoms): 0.25
Size of the total moment (Bohr magnetons per cell): 0.000
SG: I4/mmm (139)
DFT total energy (eV per atom): -1.971

a b c (Å): 4.4447 4.4447 6.4492
angles (deg): 69.84 69.84 90.00
Atoms (fractional coordinates):
Ga 0.2500 0.7500 0.5000
Ga 0.7500 0.2500 0.5000
K 0.0000 0.0000 0.0000
Zn 0.6186 0.6186 0.7628
Zn 0.3814 0.3814 0.2372

***

Record 5
Density functional theory data (PBE) for a relaxed structure of PdRhF2.

Calculated values
Density (g cm⁻³): 7.93
E above lowest polymorph (kcal/mol of atoms): 0.00
Size of the total moment (Bohr magnetons per cell): 1.145
SG: R-3m (166)
Formation energy without anion corrections (eV per atom): -0.585
DFT total energy (eV per atom): -4.656

a b c (Å): 8.0482 8.0482 8.0482
angles (deg): 19.70 19.70 19.70
Each line ends with the local moment (μB).
Atoms (fractional coordinates):
F 0.0835 0.0835 0.0835  0.07
F 0.9165 0.9165 0.9165  0.07
Rh 0.0000 0.0000 0.0000  0.42
Pd 0.5000 0.5000 0.5000  0.58

***

Record 6
Density functional theory data (PBE) for a relaxed structure of NaMgZn11.

Calculated values
ΔE_f (eV/atom): -0.004
Density (g cm⁻³): 5.83
Size of the total moment (Bohr magnetons per cell): 0.000
SG: C2/m (12)
DFT total energy (eV per atom): -1.306

a b c (Å): 5.4471 6.9669 6.8173
angles (deg): 81.06 66.45 67.11
Atoms (fractional coordinates):
Zn 0.0000 0.0000 0.5000
Zn 0.0330 0.3488 0.6371
Zn 0.7286 0.7864 0.7816
Zn 0.3298 0.6512 0.6371
Zn 0.5101 0.7864 0.2184
Zn 0.2714 0.2136 0.2184
Zn 0.4899 0.2136 0.7816
Zn 0.6702 0.3488 0.3629
Zn 0.5000 0.0000 0.5000
Zn 0.0000 0.5000 0.0000
Zn 0.9670 0.6512 0.3629
Na 0.0000 0.0000 0.0000
Mg 0.5000 0.5000 0.0000

***

Record 7
Density functional theory data (PBE) for a relaxed structure of BaZn3Br.

Calculated values
Density (g cm⁻³): 2.36
E above lowest polymorph (kcal/mol of atoms): 4.38
Size of the total moment (Bohr magnetons per cell): 0.000
SG: Pm-3m (221)
Formation energy without anion corrections (eV per atom): 0.411
DFT total energy (eV per atom): -1.072

a b c (Å): 6.6297 6.6297 6.6297
angles (deg): 90.00 90.00 90.00
Atoms (fractional coordinates):
Zn 0.5000 0.0000 0.0000
Zn 0.0000 0.0000 0.5000
Zn 0.0000 0.5000 0.0000
Br 0.5000 0.5000 0.5000
Ba 0.0000 0.0000 0.0000

***

Record 8
Density functional theory data (PBE) for a relaxed structure of CaTmAl2.

Calculated values
ΔE_f (eV/atom): -0.293
Density (g cm⁻³): 4.57
Size of the total moment (Bohr magnetons per cell): 0.000
SG: P4/mmm (123)
DFT total energy (eV per atom): -3.783

a b c (Å): 3.6069 3.6069 7.3511
angles (deg): 90.00 90.00 90.00
Atoms (fractional coordinates):
Ca 0.5000 0.5000 0.5000
Tm 0.5000 0.5000 0.0000
Al 0.0000 0.0000 0.7648
Al 0.0000 0.0000 0.2352

***

Record 9
Density functional theory data (PBE) for a relaxed structure of La3Be2O6.

Calculated values
Density (g cm⁻³): 6.50
Size of the total moment (Bohr magnetons per cell): 0.000
SG: I4/mmm (139)
Formation energy without anion corrections (eV per atom): -2.878
DFT total energy (eV per atom): -7.604

a b c (Å): 3.7110 3.7110 10.1952
angles (deg): 100.49 100.49 90.00
Atoms (fractional coordinates):
O 0.4086 0.9086 0.8173
O 0.9086 0.4086 0.8173
O 0.6958 0.6958 0.3916
O 0.0914 0.5914 0.1827
O 0.5914 0.0914 0.1827
O 0.3042 0.3042 0.6084
La 0.8241 0.8241 0.6482
La 0.1759 0.1759 0.3518
La 0.0000 0.0000 0.0000
Be 0.3946 0.3946 0.7891
Be 0.6054 0.6054 0.2109

***

Record 10
Density functional theory data (PBE) for a relaxed structure of CaNbNi2Sn.

Calculated values
ΔE_f (eV/atom): 0.961
Density (g cm⁻³): 5.27
Size of the total moment (Bohr magnetons per cell): 0.000
SG: P4/mmm (123)
DFT total energy (eV per atom): -4.566

a b c (Å): 4.6469 5.3865 4.6469
angles (deg): 90.00 90.00 90.00
Atoms (fractional coordinates):
Ni 0.0000 0.0000 0.5000
Ni 0.5000 0.0000 0.0000
Ca 0.0000 0.5000 0.0000
Nb 0.0000 0.0000 0.0000
Sn 0.5000 0.5000 0.5000

***

Record 11
Density functional theory data (PBE) for a relaxed structure of SrCa2Re.

Calculated values
ΔE_f (eV/atom): 0.721
Density (g cm⁻³): 4.55
E above lowest polymorph (kcal/mol of atoms): 0.93
Size of the total moment (Bohr magnetons per cell): 0.713
SG: Immm (71)
DFT total energy (eV per atom): -3.812

a b c (Å): 7.2561 7.2561 7.2561
angles (deg): 152.66 132.19 55.95
Each line ends with the local moment (μB).
Atoms (fractional coordinates):
Sr 0.2500 0.7500 0.5000  -0.01
Re 0.7500 0.2500 0.5000  0.58
Ca 0.5649 0.5649 0.0000  0.02
Ca 0.9351 0.9351 0.0000  0.02

***

Record 12
Density functional theory data (PBE) for a relaxed structure of CdSiP2.

Calculated values
Density (g cm⁻³): 4.26
E above lowest polymorph (kcal/mol of atoms): 13.75
Size of the total moment (Bohr magnetons per cell): 0.000
SG: P4/mmm (123)
Formation energy without anion corrections (eV per atom): 0.396
DFT total energy (eV per atom): -3.894

a b c (Å): 3.2136 3.2136 7.6392
angles (deg): 90.00 90.00 90.00
Atoms (fractional coordinates):
Cd 0.5000 0.5000 0.7500
P 0.0000 0.0000 0.4004
P 0.0000 0.0000 0.0996
Si 0.5000 0.5000 0.2500

***

Record 13
Density functional theory data (PBE) for a relaxed structure of SrRh2Br.

Calculated values
Density (g cm⁻³): 7.67
E above lowest polymorph (kcal/mol of atoms): 9.68
Size of the total moment (Bohr magnetons per cell): 1.095
SG: I-4m2 (119)
Formation energy without anion corrections (eV per atom): 0.164
DFT total energy (eV per atom): -4.350

a b c (Å): 5.4235 5.4235 5.4235
angles (deg): 134.16 134.16 66.84
Each line ends with the local moment (μB).
Atoms (fractional coordinates):
Rh 0.2500 0.7500 0.5000  0.56
Rh 0.0000 0.0000 0.0000  0.50
Br 0.7500 0.2500 0.5000  0.06
Sr 0.5000 0.5000 0.0000  -0.02

***

Record 14
Density functional theory data (PBE) for a relaxed structure of PmHo3TmSc.

Calculated values
ΔE_f (eV/atom): 0.038
Density (g cm⁻³): 7.82
Size of the total moment (Bohr magnetons per cell): 0.000
SG: Cmcm (63)
DFT total energy (eV per atom): -4.843

a b c (Å): 4.9356 7.8070 9.9200
angles (deg): 90.00 90.00 108.43
Atoms (fractional coordinates):
Tm 0.0000 0.0000 0.0000
Tm 0.0000 0.0000 0.5000
Pm 0.4975 0.9949 0.7500
Pm 0.5025 0.0051 0.2500
Ho 0.3325 0.6650 0.5004
Ho 0.6675 0.3350 0.4996
Ho 0.8307 0.6615 0.2500
Ho 0.3325 0.6650 0.9996
Ho 0.1693 0.3385 0.7500
Ho 0.6675 0.3350 0.0004
Sc 0.8320 0.6639 0.7500
Sc 0.1680 0.3361 0.2500

***

Record 15
Density functional theory data (PBE) for a relaxed structure of KLi4Au.

Calculated values
ΔE_f (eV/atom): -0.003
Density (g cm⁻³): 3.28
Size of the total moment (Bohr magnetons per cell): 0.000
SG: F-43m (216)
DFT total energy (eV per atom): -2.008

a b c (Å): 5.7397 5.7397 5.7397
angles (deg): 60.00 60.00 60.00
Atoms (fractional coordinates):
Li 0.3777 0.3777 0.8670
Li 0.8670 0.3777 0.3777
Li 0.3777 0.3777 0.3777
Li 0.3777 0.8670 0.3777
K 0.0000 0.0000 0.0000
Au 0.7500 0.7500 0.7500

***

Record 16
Density functional theory data (PBE) for a relaxed structure of LaPr2AlO.

Calculated values
Density (g cm⁻³): 6.16
Size of the total moment (Bohr magnetons per cell): 0.000
SG: P4/mmm (123)
Formation energy without anion corrections (eV per atom): -1.309
DFT total energy (eV per atom): -5.946

a b c (Å): 4.9880 5.0051 5.0051
angles (deg): 90.00 90.00 90.00
Atoms (fractional coordinates):
O 0.0000 0.0000 0.0000
La 0.5000 0.0000 0.0000
Pr 0.0000 0.5000 0.0000
Pr 0.0000 0.0000 0.5000
Al 0.5000 0.5000 0.5000

***

Record 17
Density functional theory data (PBE) for a relaxed structure of PmUCo3.

Calculated values
ΔE_f (eV/atom): -0.124
Density (g cm⁻³): 10.88
Size of the total moment (Bohr magnetons per cell): 0.000
SG: Pmmn (59)
DFT total energy (eV per atom): -7.595

a b c (Å): 3.7545 6.0455 7.5256
angles (deg): 90.00 90.00 90.00
Atoms (fractional coordinates):
U 0.7500 0.2500 0.9994
U 0.2500 0.7500 0.0006
Co 0.2500 0.4516 0.2063
Co 0.7500 0.7500 0.2293
Co 0.2500 0.0484 0.2063
Co 0.2500 0.2500 0.7707
Co 0.7500 0.9516 0.7937
Co 0.7500 0.5484 0.7937
Pm 0.7500 0.2500 0.4670
Pm 0.2500 0.7500 0.5330

***

Record 18
Density functional theory data (PBE) for a relaxed structure of Ir2RhCl.

Calculated values
Density (g cm⁻³): 14.37
E above lowest polymorph (kcal/mol of atoms): 13.90
Size of the total moment (Bohr magnetons per cell): 0.000
SG: I4/mmm (139)
Formation energy without anion corrections (eV per atom): 0.973
DFT total energy (eV per atom): -5.757

a b c (Å): 4.6091 4.6091 4.6091
angles (deg): 127.07 127.07 78.14
Atoms (fractional coordinates):
Cl 0.7500 0.2500 0.5000
Ir 0.0000 0.0000 0.0000
Ir 0.5000 0.5000 0.0000
Rh 0.2500 0.7500 0.5000

***

Record 19
Density functional theory data (PBE) for a relaxed structure of Hg2MoIr.

Calculated values
ΔE_f (eV/atom): 0.673
Density (g cm⁻³): 16.12
E above lowest polymorph (kcal/mol of atoms): 11.49
Size of the total moment (Bohr magnetons per cell): 0.000
SG: P4/mmm (123)
DFT total energy (eV per atom): -4.401

a b c (Å): 2.8962 2.8962 8.4664
angles (deg): 90.00 90.00 90.00
Atoms (fractional coordinates):
Hg 0.0000 0.0000 0.0068
Hg 0.0000 0.0000 0.4932
Mo 0.5000 0.5000 0.7500
Ir 0.5000 0.5000 0.2500

***

Record 20
Density functional theory data (PBE) for a relaxed structure of Rb2CdGa.

Calculated values
ΔE_f (eV/atom): 0.208
Density (g cm⁻³): 3.43
E above lowest polymorph (kcal/mol of atoms): 0.00
Size of the total moment (Bohr magnetons per cell): 1.268
SG: Fm-3m (225)
DFT total energy (eV per atom): -1.261

a b c (Å): 6.2283 6.2283 6.2283
angles (deg): 60.00 60.00 60.00
Each line ends with the local moment (μB).
Atoms (fractional coordinates):
Rb 0.7500 0.7500 0.7500  0.03
Rb 0.2500 0.2500 0.2500  0.03
Cd 0.5000 0.5000 0.5000  0.03
Ga 0.0000 0.0000 0.0000  0.23